The following is a PBE-GGA calculation of a relaxed Mg6Ga5 crystal, from Alexandria.

The mass density comes out at 3.620 g/cm3. Its magnetization is 0.000 μB per atom. The calculation puts the energy relative to the elements at -67 meV/atom. Its volume is 20.62 A^3/atom.

The space group is C2/m (No. 12) and the conventional cell measures 8.5538, 10.3059 and 5.3838 Å, with angles of 90.00, 107.11 and 90.00 degrees. The asymmetric unit holds Mg at (0.1955, 0.0000, 0.1873), Mg at (0.2034, 0.1531, 0.6923), Ga at (0.0000, 0.2267, 0.0000), Ga at (0.0000, 0.3705, 0.5000) and Ga at (0.0000, 0.5000, 0.0000).